Material: FePdPt2
Method: DFT, GGA-PBE
State: relaxed

Lattice parameters (Å, degrees): 2.7629 2.7629 27.0273 90.00 90.00 120.00
Closest atoms and distances in Å follow each position.
Space group R3m (No. 160, hexagonal axes)
Asymmetric unit:
1 Fe 0.0000 0.0000 0.0000 (multiplicity 3)  6 Pt 2.65, 6 Fe 2.76
2 Pd 0.0000 0.0000 0.8333 (multiplicity 3)  6 Pd 2.76, 6 Pt 2.87-2.88
3 Pt 0.0000 0.0000 0.4115 (multiplicity 3)  3 Fe 2.65, 6 Pt 2.76, 3 Pd 2.87
4 Pt 0.0000 0.0000 0.5886 (multiplicity 3)  3 Fe 2.65, 6 Pt 2.76, 3 Pd 2.88

Summary:
electronic total energy	-6.570	eV/atom
calculated volume	14.89	Å³ per atom
ΔH_f (0 K)	-0.1362	eV per atom